# PBE SmF, optimized geometry
# Energy ... -5.5476 eV/atom
# ρ ... 6.51 Mg/m³
# Spin magnetization ... 0.5 μB/f.u.
data_SmF
_chemical_formula_sum 'Sm1 F1'
_symmetry_space_group_name_H-M 'P 1'
_symmetry_Int_Tables_number 1
_symmetry_space_group_name_Hall 'P 1'
_cell_length_a 3.9392
_cell_length_b 3.9392
_cell_length_c 3.9392
_cell_angle_alpha 60.00
_cell_angle_beta 60.00
_cell_angle_gamma 60.00
loop_
_atom_site_label
_atom_site_type_symbol
_atom_site_fract_x
_atom_site_fract_y
_atom_site_fract_z
F1 F 0.0000 0.0000 0.0000
Sm1 Sm 0.2500 0.2500 0.2500



# PBE HfZr2Co2, optimized geometry
# ρ ... 8.56 Mg/m³
# Energy of formation ... 0.30 eV/atom
# Spin magnetization ... 0.8 μB/f.u.
data_HfZr2Co2
_chemical_formula_sum 'Hf1 Zr2 Co2'
_symmetry_space_group_name_H-M 'P 1'
_symmetry_Int_Tables_number 1
_symmetry_space_group_name_Hall 'P 1'
_cell_length_a 6.7983
_cell_length_b 6.7983
_cell_length_c 6.7983
_cell_angle_alpha 146.98
_cell_angle_beta 146.98
_cell_angle_gamma 47.39
loop_
_atom_site_label
_atom_site_type_symbol
_atom_site_fract_x
_atom_site_fract_y
_atom_site_fract_z
Co1 Co 0.7500 0.2500 0.5000
Co2 Co 0.2500 0.7500 0.5000
Hf1 Hf 0.0000 0.0000 0.0000
Zr1 Zr 0.3781 0.3781 0.0000
Zr2 Zr 0.6219 0.6219 0.0000



# PBE Cs2AgSnI6, optimized geometry
# Energy ... -2.6295 eV/atom
# ρ ... 4.76 Mg/m³
data_Cs2AgSnI6
_chemical_formula_sum 'Cs2 Ag1 Sn1 I6'
_symmetry_space_group_name_H-M 'P 1'
_symmetry_Int_Tables_number 1
_symmetry_space_group_name_Hall 'P 1'
_cell_length_a 8.5440
_cell_length_b 8.5440
_cell_length_c 8.5440
_cell_angle_alpha 120.52
_cell_angle_beta 120.52
_cell_angle_gamma 89.10
loop_
_atom_site_label
_atom_site_type_symbol
_atom_site_fract_x
_atom_site_fract_y
_atom_site_fract_z
Ag1 Ag 0.5000 0.5000 0.0000
Cs1 Cs 0.7500 0.2500 0.5000
Cs2 Cs 0.2500 0.7500 0.5000
I1 I 0.2507 0.2507 0.0000
I2 I 0.7493 0.7493 0.0000
I3 I 0.2790 0.7729 0.0519
I4 I 0.7729 0.7210 0.4939
I5 I 0.2271 0.2790 0.5061
I6 I 0.7210 0.2271 0.9481
Sn1 Sn 0.0000 0.0000 0.0000



# PBE NdGdSb, optimized geometry
# Energy ... -5.1296 eV/atom
# ρ ... 7.15 Mg/m³
# Spin magnetization ... 0.0 μB/f.u.
data_NdGdSb
_chemical_formula_sum 'Nd1 Gd1 Sb1'
_symmetry_space_group_name_H-M 'P 1'
_symmetry_Int_Tables_number 1
_symmetry_space_group_name_Hall 'P 1'
_cell_length_a 5.1791
_cell_length_b 5.1791
_cell_length_c 5.1791
_cell_angle_alpha 60.00
_cell_angle_beta 60.00
_cell_angle_gamma 60.00
loop_
_atom_site_label
_atom_site_type_symbol
_atom_site_fract_x
_atom_site_fract_y
_atom_site_fract_z
Gd1 Gd 0.2500 0.2500 0.2500
Nd1 Nd 0.7500 0.7500 0.7500
Sb1 Sb 0.0000 0.0000 0.0000



# PBE Ag15Sn, optimized geometry
# Energy ... -2.8384 eV/atom
# ρ ... 6.84 Mg/m³
data_Ag15Sn
_chemical_formula_sum 'Ag30 Sn2'
_symmetry_space_group_name_H-M 'P 1'
_symmetry_Int_Tables_number 1
_symmetry_space_group_name_Hall 'P 1'
_cell_length_a 8.1396
_cell_length_b 2.9176
_cell_length_c 35.5151
_cell_angle_alpha 90.00
_cell_angle_beta 90.04
_cell_angle_gamma 90.00
loop_
_atom_site_label
_atom_site_type_symbol
_atom_site_fract_x
_atom_site_fract_y
_atom_site_fract_z
Ag1 Ag 0.3750 0.7500 0.0207
Ag2 Ag 0.8749 0.7500 0.0209
Ag3 Ag 0.1251 0.2500 0.0623
Ag4 Ag 0.6248 0.2500 0.0626
Ag5 Ag 0.3751 0.7500 0.1041
Ag6 Ag 0.8747 0.7500 0.1043
Ag7 Ag 0.1249 0.2500 0.1456
Ag8 Ag 0.6247 0.2500 0.1464
Ag9 Ag 0.3760 0.7500 0.1880
Ag10 Ag 0.8735 0.7500 0.1880
Ag11 Ag 0.1241 0.2500 0.2290
Ag12 Ag 0.6253 0.2500 0.2310
Ag13 Ag 0.3736 0.7500 0.2727
Ag14 Ag 0.8754 0.7500 0.2732
Ag15 Ag 0.1251 0.2500 0.3121
Ag16 Ag 0.8749 0.7500 0.6879
Ag17 Ag 0.1246 0.2500 0.7268
Ag18 Ag 0.6264 0.2500 0.7273
Ag19 Ag 0.3747 0.7500 0.7690
Ag20 Ag 0.8759 0.7500 0.7710
Ag21 Ag 0.1265 0.2500 0.8120
Ag22 Ag 0.6240 0.2500 0.8120
Ag23 Ag 0.3753 0.7500 0.8536
Ag24 Ag 0.8751 0.7500 0.8544
Ag25 Ag 0.1253 0.2500 0.8957
Ag26 Ag 0.6249 0.2500 0.8959
Ag27 Ag 0.3752 0.7500 0.9374
Ag28 Ag 0.8749 0.7500 0.9377
Ag29 Ag 0.1251 0.2500 0.9791
Ag30 Ag 0.6250 0.2500 0.9793
Sn1 Sn 0.6231 0.2500 0.3190
Sn2 Sn 0.3769 0.7500 0.6810



# PBE NdGdY, optimized geometry
# ρ ... 5.48 Mg/m³
# Energy of formation ... 0.74 eV/atom
# Spin magnetization ... 0.0 μB/f.u.
data_NdGdY
_chemical_formula_sum 'Nd1 Gd1 Y1'
_symmetry_space_group_name_H-M 'P 1'
_symmetry_Int_Tables_number 1
_symmetry_space_group_name_Hall 'P 1'
_cell_length_a 5.5115
_cell_length_b 5.5115
_cell_length_c 5.5115
_cell_angle_alpha 60.00
_cell_angle_beta 60.00
_cell_angle_gamma 60.00
loop_
_atom_site_label
_atom_site_type_symbol
_atom_site_fract_x
_atom_site_fract_y
_atom_site_fract_z
Gd1 Gd 0.2500 0.2500 0.2500
Nd1 Nd 0.7500 0.7500 0.7500
Y1 Y 0.0000 0.0000 0.0000